{
  "formula": "Ba2HoPuS6",
  "functional": "PBE",
  "state": "relaxed",
  "lattice": [[-0.833, 2.525, 6.686], [-5.567, -4.796, 1.118], [6.730, -7.000, 3.481]],
  "species": ["Ba", "Ba", "Ba", "Ba", "Ho", "Ho", "Pu", "Pu", "S", "S", "S", "S", "S", "S", "S", "S", "S", "S", "S", "S"],
  "frac_coords": [[0.015, 0.942, 0.251], [0.515, 0.558, 0.751], [0.985, 0.058, 0.749], [0.485, 0.442, 0.249], [0.500, 0.000, 0.000], [0.000, 0.500, 0.500], [0.500, 0.000, 0.500], [0.000, 0.500, 0.000], [0.290, 0.702, 0.042], [0.790, 0.798, 0.542], [0.710, 0.298, 0.958], [0.210, 0.202, 0.458], [0.300, 0.710, 0.458], [0.800, 0.790, 0.958], [0.700, 0.290, 0.542], [0.200, 0.210, 0.042], [0.921, 0.517, 0.246], [0.421, 0.983, 0.746], [0.079, 0.483, 0.754], [0.579, 0.017, 0.254]],
  "dos_ef_per_ev_atom": 0.96,
  "vol_a3_per_cell": 552,
  "e_tot_ev_per_atom": -6.5320,
  "e_form_raw_mev_per_atom": -1780
}

{
  "formula": "Ba3Ho3PuTe8",
  "functional": "PBE",
  "state": "relaxed",
  "lattice": [[-0.635, -3.995, -8.065], [7.874, 3.490, 2.700], [-3.082, -7.959, 4.184]],
  "species": ["Ba", "Ba", "Ba", "Ho", "Ho", "Ho", "Pu", "Te", "Te", "Te", "Te", "Te", "Te", "Te", "Te"],
  "frac_coords": [[0.000, 0.000, 0.000], [0.000, 0.500, 0.000], [0.500, 0.500, 0.000], [0.500, 0.000, 0.500], [0.500, 0.500, 0.500], [0.000, 0.500, 0.500], [0.000, 0.000, 0.500], [0.262, 0.524, 0.285], [0.738, 0.476, 0.715], [0.754, 0.508, 0.281], [0.246, 0.492, 0.719], [0.754, 0.027, 0.281], [0.246, 0.973, 0.719], [0.273, 0.027, 0.281], [0.727, 0.973, 0.719]],
  "dos_ef_per_ev_atom": 1.41,
  "vol_a3_per_cell": 561,
  "e_tot_ev_per_atom": -5.3904,
  "e_form_raw_mev_per_atom": -1459
}

{
  "formula": "BaHo2Rh",
  "functional": "PBE",
  "state": "relaxed",
  "lattice": [[3.976, 0.000, 0.000], [1.988, 3.443, 0.000], [1.988, 1.148, 10.659]],
  "species": ["Rh", "Ho", "Ho", "Ba"],
  "frac_coords": [[0.500, 0.500, 0.500], [0.120, 0.120, 0.639], [0.880, 0.880, 0.361], [0.000, 0.000, 0.000]],
  "dos_ef_per_ev_atom": 0.89,
  "vol_a3_per_cell": 146,
  "e_tot_ev_per_atom": -4.8738,
  "ef_ev_per_atom": -0.2663
}

{
  "formula": "BaHoRh4",
  "functional": "PBE",
  "state": "relaxed",
  "lattice": [[-2.523, 1.316, 4.665], [-5.332, 1.196, -0.021], [-3.586, -3.463, 2.238]],
  "species": ["Rh", "Rh", "Rh", "Rh", "Ho", "Ba"],
  "frac_coords": [[0.626, 0.626, 0.123], [0.626, 0.123, 0.626], [0.626, 0.626, 0.626], [0.123, 0.626, 0.626], [0.000, 0.000, 0.000], [0.250, 0.250, 0.250]],
  "dos_ef_per_ev_atom": 0.72,
  "vol_a3_per_cell": 115,
  "e_tot_ev_per_atom": -6.3393,
  "ef_ev_per_atom": -0.3549
}

{
  "formula": "BaHo3Rh",
  "functional": "PBE",
  "state": "relaxed",
  "lattice": [[5.523, 0.000, 0.000], [0.000, 5.523, 0.000], [0.000, 0.000, 5.523]],
  "species": ["Rh", "Ho", "Ho", "Ho", "Ba"],
  "frac_coords": [[0.000, 0.000, 0.000], [0.000, 0.500, 0.000], [0.000, 0.000, 0.500], [0.500, 0.000, 0.000], [0.500, 0.500, 0.500]],
  "dos_ef_per_ev_atom": 1.21,
  "vol_a3_per_cell": 168,
  "e_tot_ev_per_atom": -4.8810,
  "ef_ev_per_atom": -0.2795
}

{
  "formula": "BaHo2S4",
  "functional": "PBE",
  "state": "relaxed",
  "lattice": [[-1.056, 1.202, -3.710], [0.579, -11.643, -3.936], [-14.009, -1.842, 3.389]],
  "species": ["Ba", "Ba", "Ba", "Ba", "Ho", "Ho", "Ho", "Ho", "Ho", "Ho", "Ho", "Ho", "S", "S", "S", "S", "S", "S", "S", "S", "S", "S", "S", "S", "S", "S", "S", "S"],
  "frac_coords": [[0.250, 0.758, 0.338], [0.250, 0.258, 0.162], [0.750, 0.242, 0.662], [0.750, 0.742, 0.838], [0.250, 0.433, 0.391], [0.250, 0.933, 0.109], [0.750, 0.567, 0.609], [0.750, 0.067, 0.891], [0.250, 0.421, 0.898], [0.250, 0.921, 0.602], [0.750, 0.579, 0.102], [0.750, 0.079, 0.398], [0.250, 0.207, 0.838], [0.250, 0.707, 0.662], [0.750, 0.793, 0.162], [0.750, 0.293, 0.338], [0.250, 0.123, 0.523], [0.250, 0.623, 0.977], [0.750, 0.877, 0.477], [0.750, 0.377, 0.023], [0.250, 0.023, 0.283], [0.250, 0.523, 0.217], [0.750, 0.977, 0.717], [0.750, 0.477, 0.783], [0.250, 0.419, 0.577], [0.250, 0.919, 0.923], [0.750, 0.581, 0.423], [0.750, 0.081, 0.077]],
  "dos_ef_per_ev_atom": 0.00,
  "vol_a3_per_cell": 722,
  "e_tot_ev_per_atom": -6.0845,
  "e_form_raw_mev_per_atom": -2143,
  "relative_energy_mev_per_atom": 0
}

Spin magnetization, record by record: 6.000; 5.740; 0.001; 0.000; 0.000; 0.000 μB per cell